The following is a DFT calculation (GGA-PBE) of a relaxed Ce2Pu3Tc4 crystal.

Geometry as CIF:
```
data_Ce2Pu3Tc4
_chemical_formula_sum 'Ce2 Pu3 Tc4'
_cell_length_a 5.0336
_cell_length_b 4.8369
_cell_length_c 8.6581
_cell_angle_alpha 88.63
_cell_angle_beta 90.00
_cell_angle_gamma 121.35
_space_group_name_H-M_alt 'P 1'
_space_group_IT_number 1
_space_group_name_Hall 'P 1'
loop_
_atom_site_label
_atom_site_fract_x
_atom_site_fract_y
_atom_site_fract_z
Pu1 0.3309 0.6618 0.5700
Ce1 0.3390 0.6780 0.2238
Ce2 0.6610 0.3220 0.7762
Pu2 0.6691 0.3382 0.4300
Tc1 0.3197 0.6394 0.8903
Tc2 0.6803 0.3606 0.1097
Tc3 0.9991 0.9982 0.6586
Tc4 0.0009 0.0018 0.3414
Pu3 0.0000 0.0000 0.0000
```

raw total energy = -10.67 eV per atom